A relaxed Tl3Ni3IrO8 crystal. Source: the Alexandria database, functional PBE+U.

Values from the calculation:
- magnetization (μB per atom) = 0.273
- density of states at the Fermi level (states/eV/atom) = 0.43
- VASP energy (eV/atom) = -4.962
- SG = R-3m

abc: 6.260 6.259 7.149
angles: 115.95 90.00 120.00
Each line ends with the local moment (μB).
Sites, in units of the cell vectors:
Tl: 0.500 0.500 0.000  -0.02
O: 0.246 0.036 0.326  -0.04
Ir: 0.000 0.000 0.500  -0.54
O: 0.754 0.964 0.674  -0.04
Tl: 0.000 0.500 0.000  -0.02
O: 0.211 0.964 0.674  -0.04
Ni: 0.000 0.500 0.500  1.69
Tl: 0.000 0.000 0.000  -0.02
O: 0.210 0.421 0.674  -0.03
Ni: 0.500 0.500 0.500  1.69
O: 0.790 0.579 0.326  -0.03
Ni: 0.500 0.000 0.500  1.69
O: 0.715 0.431 0.647  -0.06
O: 0.789 0.036 0.326  -0.04
O: 0.285 0.569 0.353  -0.06